P:
Material: TbPm2Mn
Method: DFT, PBE
State: relaxed

```
TbPm2Mn
1.0
3.439 0.000 0.000
-1.720 2.978 0.000
0.000 0.000 34.908
Tb Pm Mn
3 6 3
Cartesian
0.000 0.000 0.000 Tb
0.000 1.986 23.272 Tb
1.720 0.993 11.636 Tb
0.000 0.000 14.600 Pm
0.000 0.000 20.307 Pm
0.000 1.986 2.965 Pm
0.000 1.986 8.671 Pm
1.720 0.993 26.236 Pm
1.720 0.993 31.943 Pm
0.000 0.000 17.454 Mn
0.000 1.986 5.818 Mn
1.720 0.993 29.090 Mn
```

## Properties
- Space group: R-3m (166)
- Magnetization: 3.2 μB per formula unit
- V: 357.6 Å³ per cell



Q:
Material: TbPm2Mn
Method: DFT, PBE
State: relaxed

```
TbPm2Mn
1.0
3.606 0.000 0.000
0.000 3.606 0.000
0.000 0.000 8.873
Tb Pm Mn
1 2 1
Cartesian
0.000 0.000 0.000 Tb
1.803 1.803 2.587 Pm
1.803 1.803 6.286 Pm
0.000 0.000 4.437 Mn
```

## Properties
- Space group: P4/mmm (123)
- Magnetization: 3.9 μB per formula unit
- V: 115.4 Å³ per cell



Which of them is most stable? Easy: Q.



P:
Material: TbPmMn
Method: DFT, PBE
State: relaxed

```
TbPmMn
1.0
15.387 0.000 0.000
0.000 5.435 0.000
-0.985 0.000 3.784
Tb Pm Mn
4 4 4
Cartesian
2.230 0.000 1.590 Tb
4.479 2.718 2.194 Tb
9.923 2.718 1.590 Tb
12.172 0.000 2.194 Tb
0.640 2.718 3.198 Pm
6.069 0.000 0.586 Pm
8.333 0.000 3.198 Pm
13.762 2.718 0.586 Pm
-0.322 0.000 2.946 Mn
7.031 2.718 0.838 Mn
7.371 2.718 2.946 Mn
14.724 0.000 0.838 Mn
```

## Properties
- Space group: C2/m (12)
- Magnetization: 0.0 μB per formula unit
- V: 316.5 Å³ per cell



Q:
Material: TbPmMn
Method: DFT, PBE
State: relaxed

```
TbPmMn
1.0
3.544 0.000 0.000
0.000 3.544 0.000
0.000 0.000 12.890
Tb Pm Mn
2 2 2
Cartesian
0.000 0.000 0.000 Tb
1.772 1.772 6.445 Tb
0.000 0.000 9.376 Pm
1.772 1.772 2.931 Pm
0.000 0.000 4.742 Mn
1.772 1.772 11.187 Mn
```

## Properties
- Space group: I4mm (107)
- Magnetization: 2.8 μB per formula unit
- V: 161.9 Å³ per cell



Which of them is most stable? Easy: Q.



P:
Material: Pm2TmMn
Method: DFT, PBE
State: relaxed

```
Pm2TmMn
1.0
3.416 0.000 0.000
-1.708 2.958 0.000
0.000 0.000 34.823
Pm Tm Mn
6 3 3
Cartesian
0.000 0.000 2.874 Pm
0.000 0.000 31.949 Pm
0.000 1.972 20.342 Pm
0.000 1.972 26.089 Pm
1.708 0.986 8.734 Pm
1.708 0.986 14.481 Pm
0.000 0.000 17.411 Tm
0.000 1.972 5.804 Tm
1.708 0.986 29.019 Tm
0.000 0.000 0.000 Mn
0.000 1.972 23.215 Mn
1.708 0.986 11.608 Mn
```

## Properties
- Space group: R-3m (166)
- Magnetization: 3.4 μB per formula unit
- V: 351.9 Å³ per cell



Q:
Material: Pm2TmMn
Method: DFT, PBE
State: relaxed

```
Pm2TmMn
1.0
3.599 0.000 0.000
0.000 3.599 0.000
0.000 0.000 8.737
Pm Tm Mn
2 1 1
Cartesian
0.000 0.000 1.847 Pm
0.000 0.000 6.890 Pm
1.799 1.799 4.369 Tm
1.799 1.799 0.000 Mn
```

## Properties
- Space group: P4/mmm (123)
- Magnetization: 3.9 μB per formula unit
- V: 113.2 Å³ per cell



Which of them is most stable? Easy: Q.



P:
Material: PmUMn2
Method: DFT, PBE
State: relaxed

```
PmUMn2
1.0
3.255 0.000 0.000
-1.627 2.819 0.000
0.000 0.000 24.417
Pm U Mn
3 3 6
Cartesian
0.000 0.000 0.000 Pm
0.000 1.879 16.278 Pm
1.627 0.940 8.139 Pm
0.000 0.000 12.208 U
0.000 1.879 4.069 U
1.627 0.940 20.347 U
0.000 0.000 5.681 Mn
0.000 0.000 18.736 Mn
0.000 1.879 10.597 Mn
0.000 1.879 21.959 Mn
1.627 0.940 2.458 Mn
1.627 0.940 13.820 Mn
```

## Properties
- Space group: R-3m (166)
- Magnetization: 0.0 μB per formula unit
- V: 224.0 Å³ per cell



Q:
Material: PmUMn2
Method: DFT, PBE
State: relaxed

```
PmUMn2
1.0
3.284 0.000 0.000
0.000 3.284 0.000
0.000 0.000 7.128
Pm U Mn
1 1 2
Cartesian
0.000 0.000 0.000 Pm
0.000 0.000 3.564 U
1.642 1.642 2.246 Mn
1.642 1.642 4.882 Mn
```

## Properties
- Space group: P4/mmm (123)
- Magnetization: 1.6 μB per formula unit
- V: 76.9 Å³ per cell



Which of them is most stable? Easy: Q.



P:
Material: PmYMn
Method: DFT, PBE
State: relaxed

```
PmYMn
1.0
11.150 0.000 0.000
0.000 4.841 0.000
-3.434 0.000 5.888
Pm Y Mn
4 4 4
Cartesian
-0.499 0.000 1.806 Pm
2.640 2.420 4.083 Pm
5.075 2.420 1.806 Pm
8.215 0.000 4.083 Pm
1.716 2.420 0.672 Y
0.425 0.000 5.216 Y
7.291 0.000 0.672 Y
5.999 2.420 5.216 Y
-0.694 2.420 3.738 Mn
2.834 0.000 2.151 Mn
4.881 0.000 3.738 Mn
8.409 2.420 2.151 Mn
```

## Properties
- Space group: C2/m (12)
- Magnetization: 2.7 μB per formula unit
- V: 317.8 Å³ per cell



Q:
Material: PmYMn
Method: DFT, PBE
State: relaxed

```
PmYMn
1.0
3.543 0.000 0.000
0.000 3.543 0.000
0.000 0.000 12.936
Pm Y Mn
2 2 2
Cartesian
0.000 0.000 0.000 Pm
1.772 1.772 6.468 Pm
0.000 0.000 3.533 Y
1.772 1.772 10.001 Y
0.000 0.000 8.276 Mn
1.772 1.772 1.808 Mn
```

## Properties
- Space group: I4mm (107)
- Magnetization: 2.8 μB per formula unit
- V: 162.4 Å³ per cell



Which of them is most stable? Easy: Q.



P:
Material: PrPuMn
Method: DFT, PBE
State: relaxed

```
PrPuMn
1.0
6.435 0.000 0.000
0.000 3.702 0.000
-2.087 0.000 12.967
Pr Pu Mn
4 4 4
Cartesian
1.062 0.000 1.491 Pr
0.069 1.851 11.476 Pr
4.279 1.851 1.491 Pr
3.286 0.000 11.476 Pr
-1.045 0.000 8.568 Pu
2.176 1.851 4.400 Pu
2.172 1.851 8.568 Pu
5.393 0.000 4.400 Pu
0.028 1.851 6.281 Mn
1.102 0.000 6.686 Mn
3.246 0.000 6.281 Mn
4.320 1.851 6.686 Mn
```

## Properties
- Space group: C2/m (12)
- Magnetization: 5.6 μB per formula unit
- V: 308.9 Å³ per cell



Q:
Material: PrPuMn
Method: DFT, PBE
State: relaxed

```
PrPuMn
1.0
3.517 0.000 0.000
0.000 3.517 0.000
0.000 0.000 11.571
Pr Pu Mn
2 2 2
Cartesian
0.000 0.000 0.000 Pr
1.758 1.758 5.786 Pr
0.000 0.000 3.319 Pu
1.758 1.758 9.104 Pu
0.000 0.000 7.935 Mn
1.758 1.758 2.150 Mn
```

## Properties
- Space group: I4mm (107)
- Magnetization: 3.2 μB per formula unit
- V: 143.1 Å³ per cell



Which of them is most stable? Easy: Q.